Entry 1:
A geometry-optimized Sr3InO structure. Source: Alexandria via LeMat-Bulk, functional GGA-PBE.

Cell: 3.797 9.959 9.127 Å, 90.00 90.00 90.00°
Fractional positions:
1 Sr 0.000 0.000 0.000
2 Sr 0.000 0.500 0.500
3 Sr 0.500 0.165 0.332
4 Sr 0.500 0.335 0.832
5 Sr 0.500 0.665 0.832
6 Sr 0.500 0.835 0.332
7 In 0.500 0.000 0.685
8 In 0.500 0.500 0.185
9 O 0.000 0.000 0.263
10 O 0.000 0.500 0.763

**Raw formation energy**: -23.75 kcal/mol of atoms

***

Entry 2:
A geometry-optimized InSbTe3 structure. Source: Alexandria via LeMat-Bulk, functional GGA-PBE.

Cell: 4.393 6.613 7.226 Å, 109.38 105.98 94.41°
Fractional positions:
1 In 0.000 0.000 0.000
2 Sb 0.112 0.571 0.378
3 Te 0.518 0.276 0.984
4 Te 0.809 0.575 0.682
5 Te 0.966 0.977 0.378

**Energy above the most stable polymorph in this dataset**: 69 meV/atom
**Raw formation energy**: -2.70 kcal/mol of atoms

***

Entry 3:
A geometry-optimized CuAu2Cl structure. Source: Alexandria via LeMat-Bulk, functional GGA-PBE.

Cell: 3.243 3.243 6.808 Å, 90.00 90.00 90.00°
Fractional positions:
1 Cu 0.000 0.000 0.000
2 Au 0.500 0.500 0.207
3 Au 0.500 0.500 0.793
4 Cl 0.000 0.000 0.500

**Energy above the most stable polymorph in this dataset**: 143 meV/atom
**Raw formation energy**: 2.47 kcal/mol of atoms

***

Entry 4:
A geometry-optimized Be2AgTe structure. Source: Alexandria via LeMat-Bulk, functional GGA-PBE.

Cell: 5.684 6.515 3.707 Å, 90.00 102.72 90.00°
Fractional positions:
1 Be 0.250 0.250 0.000
2 Be 0.250 0.750 0.000
3 Be 0.750 0.250 0.000
4 Be 0.750 0.750 0.000
5 Ag 0.000 0.000 0.500
6 Ag 0.500 0.500 0.500
7 Te 0.000 0.500 0.500
8 Te 0.500 0.000 0.500

**Raw formation energy**: 14.30 kcal/mol of atoms

***

Entry 5:
A geometry-optimized BeTl2W structure. Source: Alexandria via LeMat-Bulk, functional GGA-PBE.

Cell: 5.862 8.477 3.043 Å, 90.00 90.00 90.00°
Fractional positions:
1 Be 0.000 0.000 0.000
2 Be 0.500 0.500 0.000
3 Tl 0.250 0.250 0.500
4 Tl 0.250 0.750 0.500
5 Tl 0.750 0.250 0.500
6 Tl 0.750 0.750 0.500
7 W 0.000 0.500 0.000
8 W 0.500 0.000 0.000

**Energy above the most stable polymorph in this dataset**: 425 meV/atom
**Formation energy from the elements**: 106.3 kJ/mol of atoms

***

Entry 6:
A geometry-optimized Sm5Ho2Tl structure. Source: Alexandria via LeMat-Bulk, functional GGA-PBE.

Cell: 7.106 14.234 4.996 Å, 90.00 90.00 90.00°
Fractional positions:
1 Sm 0.000 0.000 0.000
2 Sm 0.005 0.259 0.000
3 Sm 0.248 0.126 0.500
4 Sm 0.252 0.626 0.500
5 Sm 0.495 0.759 0.000
6 Sm 0.500 0.500 0.000
7 Sm 0.505 0.241 0.000
8 Sm 0.748 0.374 0.500
9 Sm 0.752 0.874 0.500
10 Sm 0.995 0.741 0.000
11 Ho 0.244 0.876 0.500
12 Ho 0.256 0.376 0.500
13 Ho 0.744 0.624 0.500
14 Ho 0.756 0.124 0.500
15 Tl 0.000 0.500 0.000
16 Tl 0.500 0.000 0.000

**Energy above the most stable polymorph in this dataset**: 0 meV/atom
**Formation energy from the elements**: -4.7 kJ/mol of atoms

***

Entry 7:
A geometry-optimized FeSbIr2 structure. Source: Alexandria via LeMat-Bulk, functional GGA-PBE.

Cell: 2.945 2.945 25.369 Å, 90.00 90.00 120.00°
Fractional positions:
1 Fe 0.000 0.000 0.000
2 Fe 0.333 0.667 0.667
3 Fe 0.667 0.333 0.333
4 Sb 0.000 0.000 0.751
5 Sb 0.333 0.667 0.418
6 Sb 0.667 0.333 0.084
7 Ir 0.000 0.000 0.256
8 Ir 0.000 0.000 0.503
9 Ir 0.333 0.667 0.169
10 Ir 0.333 0.667 0.923
11 Ir 0.667 0.333 0.590
12 Ir 0.667 0.333 0.836

**Raw formation energy**: 9.02 kcal/mol of atoms

***

Entry 8:
A geometry-optimized La5YP6 structure. Source: Alexandria via LeMat-Bulk, functional GGA-PBE.

Cell: 7.335 7.335 7.334 Å, 99.60 99.60 120.00°
Fractional positions:
1 La 0.000 0.000 0.000
2 La 0.166 0.834 0.500
3 La 0.333 0.667 0.000
4 La 0.667 0.333 0.000
5 La 0.834 0.166 0.500
6 Y 0.500 0.500 0.500
7 P 0.092 0.418 0.255
8 P 0.256 0.256 0.746
9 P 0.418 0.092 0.255
10 P 0.582 0.908 0.745
11 P 0.744 0.744 0.254
12 P 0.908 0.582 0.745

**Formation energy from the elements**: -151.9 kJ/mol of atoms